(1)
Entry from Alexandria via LeMat-Bulk: an optimized crystal structure of Li4Tl7Cd (PBE-GGA).

a = 5.6186 Å, b = 8.2992 Å, c = 7.7029 Å
α = 70.98°, β = 68.61°, γ = 70.21°
Closest atoms and distances in Å follow each position.
Element x y z (fractional)
Li 0.5454 0.2770 0.6322  4 Tl 2.86-3.10, 1 Li 2.99
Li 0.4546 0.7230 0.3678  4 Tl 2.86-3.10, 1 Li 2.99
Li 0.6879 0.6455 0.9786  3 Tl 2.81-2.90, 1 Li 2.99
Li 0.3121 0.3545 0.0214  3 Tl 2.81-2.90, 1 Li 2.99
Tl 0.7831 0.8837 0.5501  4 Li 3.20-3.45, 7 Tl 3.32-3.55
Tl 0.2169 0.1163 0.4499  4 Li 3.20-3.45, 7 Tl 3.32-3.55
Tl 0.0654 0.6004 0.2688  3 Li 2.90-3.10
Tl 0.9346 0.3996 0.7312  3 Li 2.90-3.10
Tl 0.2658 0.6965 0.7719  4 Li 2.85-3.16, 1 Cd 3.18
Tl 0.5000 0.0000 0.0000  4 Li 2.81-3.00, 2 Cd 2.81
Tl 0.7342 0.3035 0.2281  4 Li 2.85-3.16, 1 Cd 3.18
Cd 0.0000 0.0000 0.0000  2 Tl 2.81

Summary:
SG: C2/m, No. 12
Energy relative to the elements in eV/atom: -0.05
Density of states at the Fermi level in states/eV per atom: 0.381
Raw total energy in eV per atom: -2.141
Total moment in μB per atom: 0.00

(2)
Entry from Alexandria via LeMat-Bulk: an optimized crystal structure of NiSe (PBE-GGA).

a = 3.2227 Å, b = 3.2227 Å, c = 6.5794 Å
α = 90.00°, β = 90.00°, γ = 90.00°
Closest atoms and distances in Å follow each position.
Element x y z (fractional)
Ni 0.0000 0.0000 0.0174  5 Se 2.38-2.48
Ni 0.5000 0.5000 0.2326  5 Se 2.38-2.48
Se 0.0000 0.0000 0.3799  5 Ni 2.38-2.48
Se 0.5000 0.5000 0.8701  5 Ni 2.38-2.48

Summary:
SG: P4/nmm, No. 129
Density of states at the Fermi level in states/eV per atom: 0.430
Formation energy from raw total energies in meV/atom: -201
Raw total energy in eV per atom: -4.834
Total moment in μB per atom: 0.00

(3)
Entry from Alexandria via LeMat-Bulk: an optimized crystal structure of Pa4Se5O2 (PBE-GGA).

a = 3.9012 Å, b = 7.8491 Å, c = 10.3196 Å
α = 121.43°, β = 100.90°, γ = 90.00°
Closest atoms and distances in Å follow each position.
Element x y z (fractional)
Pa 0.6950 0.6870 0.3900  1 O 2.27
Pa 0.9812 0.7050 0.9624  2 O 2.27
Pa 0.3050 0.3130 0.6100  1 O 2.27
Pa 0.0188 0.2950 0.0376  2 O 2.27
Se 0.1544 0.8991 0.3089  4 Pa 2.95-3.06
Se 0.8456 0.1009 0.6911  4 Pa 2.95-3.06
Se 0.1709 0.3772 0.3418  4 Pa 2.79-3.02
Se 0.5000 0.0000 0.0000  4 Pa 2.89, 2 O 3.17
Se 0.8291 0.6228 0.6582  4 Pa 2.79-3.02
O 0.5639 0.4664 0.1278  3 Pa 2.27
O 0.4361 0.5336 0.8722  3 Pa 2.27

Summary:
SG: C2/m, No. 12
Density of states at the Fermi level in states/eV per atom: 1.200
Formation energy from raw total energies in meV/atom: -1785
Raw total energy in eV per atom: -7.724
Total moment in μB per atom: 0.54